VASP calculation (GGA-PBE) on a relaxed structure of TaNb2Rh.

Computed properties:
For the formation energy, the calculation gives -0.691 eV/f.u. The calculation puts the calculated density at 11.4 g/cm³. The polymorph energy (0 for the lowest one) comes out at 78 meV per atom.

```
data_TaNb2Rh
_chemical_formula_sum 'Ta4 Nb8 Rh4'
_space_group_name_H-M_alt 'F m -3 m'
_space_group_IT_number 225
_space_group_name_Hall '-F 4 2 3'
_cell_length_a 6.493
_cell_length_b 6.493
_cell_length_c 6.493
_cell_angle_alpha 90.00
_cell_angle_beta 90.00
_cell_angle_gamma 90.00
loop_
_atom_site_label
_atom_site_type_symbol
_atom_site_fract_x
_atom_site_fract_y
_atom_site_fract_z
Ta1 Ta 0.000 0.000 0.000
Nb1 Nb 0.250 0.250 0.250
Rh1 Rh 0.000 0.000 0.500
```